K2PaBiS4: relaxed, PBE.

Computed properties:
* E_tot: -5.17 eV per atom
* DOS at the Fermi energy: 3.746 states/eV/cell
* ρ: 4448 kg/m³
* total moment: 0.09 μB per formula unit
* calculated volume: 30.17 Å³/atom
* E_form (uncorrected): -1.164 eV/atom

Unit cell a=4.0852 b=9.0966 c=7.8457 alpha=124.12 beta=90.00 gamma=90.00
Last column: magnetic moment on the atom in μB.
Element x y z (fractional)
K  0.5000  0.0000  0.5000  0.00
K  0.0000  0.5000  0.5000  0.00
Pa  0.5000  0.5000  0.0000  0.12
Bi  0.0000  0.0000  0.0000  -0.01
S  0.5000  0.2551  0.0825  0.00
S  0.5000  0.7449  0.9175  0.00
S  0.0000  0.3266  0.7410  0.00
S  0.0000  0.6734  0.2590  0.00

Sr3CrCu: relaxed, PBE.

Computed properties:
* E_tot: -2.77 eV per atom
* DOS at the Fermi energy: 18.151 states/eV/cell
* ρ: 3237 kg/m³
* total moment: 0.81 μB per formula unit
* calculated volume: 38.83 Å³/atom
* ΔH_f (0 K): 0.99 eV per atom
* energy relative to the lowest polymorph listed for this composition: 0 meV per atom

Unit cell a=5.7903 b=5.7903 c=5.7903 alpha=90.00 beta=90.00 gamma=90.00
Last column: magnetic moment on the atom in μB.
Element x y z (fractional)
Sr  0.0000  0.5000  0.0000  0.00
Sr  0.0000  0.0000  0.5000  0.00
Sr  0.5000  0.0000  0.0000  0.00
Cu  0.0000  0.0000  0.0000  0.00
Cr  0.5000  0.5000  0.5000  -0.75

Ba3Al2Ge3: relaxed, PBE.

Computed properties:
* E_tot: -3.75 eV per atom
* DOS at the Fermi energy: 6.732 states/eV/cell
* ρ: 4403 kg/m³
* total moment: 0.00 μB per formula unit
* calculated volume: 32.24 Å³/atom
* ΔH_f (0 K): -0.36 eV per atom
* energy relative to the lowest polymorph listed for this composition: 126 meV per atom

Unit cell a=4.6420 b=6.6066 c=17.9628 alpha=90.00 beta=90.00 gamma=110.57
Element x y z (fractional)
Ba  0.6490  0.2981  0.0656
Ba  0.3510  0.7019  0.5656
Ba  0.6490  0.2981  0.4344
Ba  0.3510  0.7019  0.9344
Ba  0.3281  0.6561  0.2500
Ba  0.6719  0.3439  0.7500
Al  0.9729  0.9459  0.6797
Al  0.0271  0.0541  0.1797
Al  0.9729  0.9459  0.8203
Al  0.0271  0.0541  0.3203
Ge  0.9320  0.8640  0.0559
Ge  0.0680  0.1360  0.5559
Ge  0.9320  0.8640  0.4441
Ge  0.0680  0.1360  0.9441
Ge  0.6152  0.2304  0.2500
Ge  0.3848  0.7696  0.7500

LiTmMgCo: relaxed, PBE.

Computed properties:
* E_tot: -3.78 eV per atom
* DOS at the Fermi energy: 2.545 states/eV/cell
* ρ: 6061 kg/m³
* total moment: 0.00 μB per formula unit
* calculated volume: 17.75 Å³/atom
* ΔH_f (0 K): -0.01 eV per atom

Unit cell a=4.6477 b=4.6477 c=4.6477 alpha=60.00 beta=60.00 gamma=60.00
Element x y z (fractional)
Mg  0.5000  0.5000  0.5000
Tm  0.0000  0.0000  0.0000
Co  0.2500  0.2500  0.2500
Li  0.7500  0.7500  0.7500

Question: The lowest DOS at the Fermi energy belongs to which entry?
Answer: LiTmMgCo

Please write out number 2 again, unchanged.
Sr3CrCu: relaxed, PBE.

Computed properties:
* E_tot: -2.77 eV per atom
* DOS at the Fermi energy: 18.151 states/eV/cell
* ρ: 3237 kg/m³
* total moment: 0.81 μB per formula unit
* calculated volume: 38.83 Å³/atom
* ΔH_f (0 K): 0.99 eV per atom
* energy relative to the lowest polymorph listed for this composition: 0 meV per atom

Unit cell a=5.7903 b=5.7903 c=5.7903 alpha=90.00 beta=90.00 gamma=90.00
Last column: magnetic moment on the atom in μB.
Element x y z (fractional)
Sr  0.0000  0.5000  0.0000  0.00
Sr  0.0000  0.0000  0.5000  0.00
Sr  0.5000  0.0000  0.0000  0.00
Cu  0.0000  0.0000  0.0000  0.00
Cr  0.5000  0.5000  0.5000  -0.75

Question: Look up the DOS at the Fermi energy of the third one.
Answer: 6.732 states/eV/cell

Question: What is the formula in the first record?
Answer: K2PaBiS4